# 1
{
  "formula": "Si2PbAu8",
  "functional": "PBE",
  "state": "relaxed",
  "magmom_total_mub_per_fu": 0.00,
  "raw_formation_energy_ev_per_atom": 0.029,
  "energy_ev_per_atom": -3.677,
  "lattice_angstrom": [[5.524, 0.843, 0.075], [2.197, 5.009, 1.184], [0.027, -2.069, 7.942]],
  "species": ["Au", "Au", "Pb", "Au", "Au", "Au", "Si", "Si", "Au", "Au", "Au"],
  "fractional_positions": [[0.348, 0.162, 0.643], [0.843, 0.354, 0.006], [0.500, 0.000, 0.000], [0.157, 0.646, 0.994], [0.919, 0.008, 0.719], [0.081, 0.992, 0.281], [0.875, 0.365, 0.499], [0.125, 0.635, 0.501], [0.502, 0.590, 0.715], [0.652, 0.838, 0.357], [0.498, 0.410, 0.285]]
}

---

# 2
{
  "formula": "TaNb2Mo8",
  "functional": "PBE",
  "state": "relaxed",
  "magmom_total_mub_per_fu": 0.00,
  "ef_ev_per_fu": 5.9,
  "energy_ev_per_atom": -10.247,
  "lattice_angstrom": [[-1.929, 4.029, 0.726], [-4.092, -3.257, 4.208], [5.634, 1.563, 3.297]],
  "species": ["Ta", "Mo", "Mo", "Mo", "Mo", "Mo", "Mo", "Nb", "Mo", "Nb", "Mo"],
  "fractional_positions": [[0.500, 0.000, 0.000], [0.969, 0.958, 0.690], [0.031, 0.042, 0.310], [0.500, 0.762, 0.238], [0.500, 0.238, 0.762], [0.502, 0.332, 0.332], [0.969, 0.690, 0.958], [0.000, 0.374, 0.626], [0.031, 0.310, 0.042], [0.000, 0.626, 0.374], [0.498, 0.668, 0.668]]
}

---

# 3
{
  "formula": "PmMnIr",
  "functional": "PBE",
  "state": "relaxed",
  "magmom_total_mub_per_fu": 4.68,
  "ef_ev_per_fu": -0.2,
  "energy_ev_per_atom": -7.662,
  "relative_energy_mev_per_atom": 0,
  "lattice_angstrom": [[4.637, 0.000, 0.000], [2.318, 4.016, 0.000], [2.318, 1.339, 3.786]],
  "species": ["Ir", "Mn", "Pm"],
  "fractional_positions": [[0.250, 0.250, 0.250], [0.500, 0.500, 0.500], [0.000, 0.000, 0.000]]
}

---

# 4
{
  "formula": "BaThUN3",
  "functional": "PBE",
  "state": "relaxed",
  "magmom_total_mub_per_fu": 0.00,
  "raw_formation_energy_ev_per_atom": -1.007,
  "energy_ev_per_atom": -8.608,
  "lattice_angstrom": [[-1.333, 3.547, 0.325], [0.684, -0.474, 7.974], [8.122, 3.255, -2.192]],
  "species": ["N", "N", "U", "Ba", "Ba", "U", "Th", "N", "N", "Th", "N", "N"],
  "fractional_positions": [[0.750, 0.433, 0.112], [0.250, 0.140, 0.831], [0.250, 0.063, 0.592], [0.750, 0.825, 0.840], [0.250, 0.175, 0.160], [0.750, 0.937, 0.408], [0.250, 0.632, 0.152], [0.250, 0.794, 0.417], [0.250, 0.567, 0.888], [0.750, 0.368, 0.848], [0.750, 0.206, 0.583], [0.750, 0.860, 0.169]]
}

---

# 5
{
  "formula": "SrCa2PmCd4",
  "functional": "PBE",
  "state": "relaxed",
  "magmom_total_mub_per_fu": 0.00,
  "ef_ev_per_fu": -2.7,
  "energy_ev_per_atom": -2.105,
  "lattice_angstrom": [[-0.224, -2.640, 4.814], [4.516, -2.372, 2.046], [3.497, 5.954, 6.565]],
  "species": ["Cd", "Pm", "Ca", "Cd", "Cd", "Ca", "Sr", "Cd"],
  "fractional_positions": [[0.622, 0.622, 0.135], [0.500, 0.500, 0.500], [0.750, 0.750, 0.749], [0.873, 0.873, 0.382], [0.378, 0.378, 0.865], [0.250, 0.250, 0.251], [0.000, 0.000, 0.000], [0.127, 0.127, 0.618]]
}

---

# 6
{
  "formula": "FeAsH3",
  "functional": "PBE",
  "state": "relaxed",
  "magmom_total_mub_per_fu": 3.23,
  "energy_ev_per_atom": -3.667,
  "relative_energy_mev_per_atom": 525,
  "lattice_angstrom": [[3.657, 0.000, 0.000], [0.000, 3.657, 0.000], [0.000, 0.000, 3.657]],
  "species": ["Fe", "H", "H", "H", "As"],
  "fractional_positions": [[0.500, 0.500, 0.500], [0.000, 0.000, 0.500], [0.000, 0.500, 0.000], [0.500, 0.000, 0.000], [0.000, 0.000, 0.000]]
}

---

# 7
{
  "formula": "MgPaAl2",
  "functional": "PBE",
  "state": "relaxed",
  "magmom_total_mub_per_fu": 0.00,
  "ef_ev_per_fu": 0.0,
  "energy_ev_per_atom": -4.655,
  "lattice_angstrom": [[4.899, 0.000, 0.000], [2.449, 4.242, 0.000], [2.449, 1.414, 4.000]],
  "species": ["Al", "Mg", "Pa", "Al"],
  "fractional_positions": [[0.250, 0.250, 0.250], [0.500, 0.500, 0.500], [0.000, 0.000, 0.000], [0.750, 0.750, 0.750]]
}

---

# 8
{
  "formula": "SmGePd",
  "functional": "PBE",
  "state": "relaxed",
  "magmom_total_mub_per_fu": 0.00,
  "ef_ev_per_fu": -2.8,
  "energy_ev_per_atom": -5.779,
  "lattice_angstrom": [[-2.209, -1.093, -2.632], [-2.429, -2.291, 2.990], [-1.018, 4.268, -0.917]],
  "species": ["Pd", "Ge", "Sm"],
  "fractional_positions": [[0.167, 0.000, 0.000], [0.167, 0.333, 0.667], [0.667, 0.667, 0.333]]
}

---

# 9
{
  "formula": "ReTcAgP2",
  "functional": "PBE",
  "state": "relaxed",
  "magmom_total_mub_per_fu": 3.99,
  "ef_ev_per_fu": 7.1,
  "energy_ev_per_atom": -5.885,
  "lattice_angstrom": [[4.451, 0.000, 0.000], [0.000, 5.234, 0.000], [0.000, 0.000, 4.451]],
  "species": ["P", "Tc", "Ag", "Re", "P"],
  "fractional_positions": [[0.500, 0.000, 0.000], [0.000, 0.000, 0.000], [0.000, 0.500, 0.000], [0.500, 0.500, 0.500], [0.000, 0.000, 0.500]]
}

---

# 10
{
  "formula": "TlS2I",
  "functional": "PBE",
  "state": "relaxed",
  "magmom_total_mub_per_fu": 0.00,
  "raw_formation_energy_ev_per_atom": 0.357,
  "energy_ev_per_atom": -2.685,
  "relative_energy_mev_per_atom": 316,
  "lattice_angstrom": [[-3.130, 0.302, -6.627], [-6.597, -0.910, 3.074], [-5.292, 4.176, -1.370]],
  "species": ["S", "S", "I", "Tl", "Tl", "S", "I", "S"],
  "fractional_positions": [[0.875, 0.912, 0.750], [0.088, 0.625, 0.250], [0.500, 0.500, 0.000], [0.750, 0.250, 0.500], [0.000, 0.000, 0.000], [0.662, 0.125, 0.250], [0.250, 0.750, 0.500], [0.375, 0.338, 0.750]]
}

---

# 11
{
  "formula": "Cd3CuPd6",
  "functional": "PBE",
  "state": "relaxed",
  "magmom_total_mub_per_fu": 0.00,
  "ef_ev_per_fu": -1.1,
  "energy_ev_per_atom": -3.913,
  "relative_energy_mev_per_atom": 167,
  "lattice_angstrom": [[-3.272, 1.740, 2.861], [4.870, -2.179, 6.893], [2.713, 8.083, -1.814]],
  "species": ["Cu", "Pd", "Cd", "Cd", "Pd", "Pd", "Pd", "Cd", "Pd", "Cu", "Pd", "Cd", "Pd", "Pd", "Pd", "Pd", "Cd", "Cd", "Pd", "Pd"],
  "fractional_positions": [[0.284, 0.143, 0.857], [0.560, 0.549, 0.732], [0.045, 0.131, 0.287], [0.545, 0.869, 0.713], [0.337, 0.954, 0.046], [0.060, 0.451, 0.268], [0.176, 0.062, 0.570], [0.045, 0.713, 0.869], [0.837, 0.046, 0.954], [0.784, 0.857, 0.143], [0.233, 0.758, 0.242], [0.569, 0.592, 0.408], [0.060, 0.732, 0.549], [0.676, 0.570, 0.062], [0.176, 0.430, 0.938], [0.560, 0.268, 0.451], [0.545, 0.287, 0.131], [0.069, 0.408, 0.592], [0.676, 0.938, 0.430], [0.733, 0.242, 0.758]]
}

---

# 12
{
  "formula": "MgPaFeN3",
  "functional": "PBE",
  "state": "relaxed",
  "magmom_total_mub_per_fu": 0.00,
  "raw_formation_energy_ev_per_atom": -0.827,
  "energy_ev_per_atom": -8.248,
  "lattice_angstrom": [[-2.718, -1.684, 0.947], [2.781, -1.336, 5.606], [-3.285, 6.754, 2.581]],
  "species": ["Fe", "N", "Mg", "Pa", "N", "Pa", "N", "N", "N", "Fe", "N", "Mg"],
  "fractional_positions": [[0.250, 0.038, 0.607], [0.250, 0.606, 0.880], [0.750, 0.860, 0.870], [0.250, 0.642, 0.180], [0.250, 0.112, 0.855], [0.750, 0.358, 0.820], [0.750, 0.394, 0.120], [0.750, 0.888, 0.145], [0.750, 0.163, 0.569], [0.750, 0.962, 0.393], [0.250, 0.837, 0.431], [0.250, 0.140, 0.130]]
}

---

# 13
{
  "formula": "Na4TbSb3Te8",
  "functional": "PBE",
  "state": "relaxed",
  "magmom_total_mub_per_fu": 0.00,
  "raw_formation_energy_ev_per_atom": -0.668,
  "energy_ev_per_atom": -3.631,
  "lattice_angstrom": [[8.897, 0.000, 0.000], [0.000, 9.153, 0.171], [-4.449, -4.445, 6.294]],
  "species": ["Na", "Te", "Na", "Te", "Sb", "Te", "Te", "Te", "Na", "Sb", "Sb", "Te", "Te", "Tb", "Na", "Te"],
  "fractional_positions": [[0.500, 0.000, 0.000], [0.244, 0.730, 0.488], [0.000, 0.000, 0.000], [0.256, 0.269, 0.512], [0.500, 0.500, 0.500], [0.756, 0.270, 0.512], [0.744, 0.731, 0.488], [0.258, 0.270, 0.014], [0.500, 0.000, 0.500], [0.500, 0.500, 0.000], [0.000, 0.500, 0.500], [0.742, 0.730, 0.986], [0.244, 0.730, 0.986], [0.000, 0.500, 0.000], [0.000, 0.000, 0.500], [0.756, 0.270, 0.014]]
}

---

# 14
{
  "formula": "Pr4NdY6",
  "functional": "PBE",
  "state": "relaxed",
  "magmom_total_mub_per_fu": 0.00,
  "ef_ev_per_fu": 1.2,
  "energy_ev_per_atom": -5.592,
  "relative_energy_mev_per_atom": 0,
  "lattice_angstrom": [[5.844, 0.000, 0.000], [-2.922, 4.899, 0.000], [0.000, 0.000, 26.269]],
  "species": ["Pr", "Nd", "Pr", "Pr", "Y", "Pr", "Y", "Y", "Y", "Y", "Y", "Y", "Pr", "Y", "Nd", "Y", "Y", "Pr", "Y", "Pr", "Pr", "Y"],
  "fractional_positions": [[0.529, 0.058, 0.877], [0.184, 0.367, 0.750], [0.157, 0.315, 0.455], [0.471, 0.942, 0.123], [0.500, 0.000, 0.000], [0.157, 0.315, 0.045], [0.500, 0.000, 0.500], [0.812, 0.624, 0.397], [0.188, 0.376, 0.897], [0.518, 0.036, 0.750], [0.855, 0.711, 0.682], [0.188, 0.376, 0.603], [0.843, 0.685, 0.545], [0.482, 0.964, 0.250], [0.816, 0.633, 0.250], [0.812, 0.624, 0.103], [0.145, 0.289, 0.182], [0.843, 0.685, 0.955], [0.855, 0.711, 0.818], [0.529, 0.058, 0.623], [0.471, 0.942, 0.377], [0.145, 0.289, 0.318]]
}

---

# 15
{
  "formula": "AcBi2S4",
  "functional": "PBE",
  "state": "relaxed",
  "magmom_total_mub_per_fu": 0.00,
  "raw_formation_energy_ev_per_atom": -0.912,
  "energy_ev_per_atom": -4.966,
  "relative_energy_mev_per_atom": 0,
  "lattice_angstrom": [[-2.426, 2.025, 3.050], [-2.317, -6.415, -0.746], [8.470, -4.165, 9.503]],
  "species": ["Bi", "S", "S", "S", "Bi", "S", "Ac", "S", "Bi", "S", "S", "S", "Bi", "Ac"],
  "fractional_positions": [[0.874, 0.749, 0.560], [0.500, 0.000, 0.000], [0.770, 0.541, 0.120], [0.500, 0.000, 0.500], [0.126, 0.251, 0.440], [0.230, 0.459, 0.620], [0.623, 0.246, 0.750], [0.770, 0.541, 0.380], [0.126, 0.251, 0.060], [0.971, 0.941, 0.750], [0.029, 0.059, 0.250], [0.230, 0.459, 0.880], [0.874, 0.749, 0.940], [0.377, 0.754, 0.250]]
}

---

# 16
{
  "formula": "FeSiGeSe2",
  "functional": "PBE",
  "state": "relaxed",
  "magmom_total_mub_per_fu": 2.85,
  "raw_formation_energy_ev_per_atom": 0.931,
  "energy_ev_per_atom": -4.163,
  "lattice_angstrom": [[-2.615, 4.209, 1.284], [-2.441, -0.346, -3.835], [-3.443, -2.887, 2.452]],
  "species": ["Si", "Se", "Ge", "Se", "Fe"],
  "fractional_positions": [[0.500, 0.500, 0.500], [0.500, 0.000, 0.000], [0.000, 0.000, 0.000], [0.000, 0.000, 0.500], [0.000, 0.500, 0.000]]
}

---

# 17
{
  "formula": "TaTi2Re",
  "functional": "PBE",
  "state": "relaxed",
  "magmom_total_mub_per_fu": 0.00,
  "ef_ev_per_fu": -0.9,
  "energy_ev_per_atom": -10.249,
  "lattice_angstrom": [[4.492, -0.146, 0.718], [-0.017, 3.099, 0.738], [1.511, 0.432, 5.098]],
  "species": ["Ti", "Ti", "Ta", "Re"],
  "fractional_positions": [[0.146, 0.144, 0.329], [0.415, 0.913, 0.790], [0.679, 0.677, 0.263], [0.913, 0.411, 0.794]]
}

---

# 18
{
  "formula": "Pr4Ho3PuSe8",
  "functional": "PBE",
  "state": "relaxed",
  "magmom_total_mub_per_fu": 5.70,
  "raw_formation_energy_ev_per_atom": -1.772,
  "energy_ev_per_atom": -6.463,
  "lattice_angstrom": [[-4.298, -3.371, 6.224], [2.319, -7.671, -2.554], [5.798, 5.696, 1.580]],
  "species": ["Ho", "Se", "Pu", "Se", "Pr", "Se", "Se", "Ho", "Pr", "Se", "Ho", "Pr", "Se", "Se", "Pr", "Se"],
  "fractional_positions": [[0.500, 0.500, 0.500], [0.256, 0.269, 0.513], [0.000, 0.500, 0.000], [0.754, 0.266, 0.013], [0.000, 0.000, 0.000], [0.754, 0.266, 0.508], [0.259, 0.266, 0.013], [0.000, 0.500, 0.500], [0.500, 0.000, 0.000], [0.744, 0.731, 0.487], [0.500, 0.500, 0.000], [0.500, 0.000, 0.500], [0.246, 0.734, 0.492], [0.741, 0.734, 0.987], [0.000, 0.000, 0.500], [0.246, 0.734, 0.987]]
}

---

# 19
{
  "formula": "Na3Ga3TcO8",
  "functional": "PBE",
  "state": "relaxed",
  "magmom_total_mub_per_fu": 3.00,
  "raw_formation_energy_ev_per_atom": -1.702,
  "energy_ev_per_atom": -5.907,
  "lattice_angstrom": [[6.080, 0.000, 0.000], [-3.040, 5.265, -0.018], [0.000, -3.492, 5.498]],
  "species": ["Tc", "O", "O", "O", "O", "Ga", "Na", "O", "Ga", "O", "Na", "Na", "O", "Ga", "O"],
  "fractional_positions": [[0.000, 0.000, 0.500], [0.268, 0.038, 0.308], [0.731, 0.463, 0.694], [0.770, 0.540, 0.308], [0.732, 0.962, 0.692], [0.500, 0.500, 0.500], [0.000, 0.500, 0.000], [0.230, 0.460, 0.692], [0.500, 0.000, 0.500], [0.230, 0.962, 0.692], [0.500, 0.500, 0.000], [0.000, 0.000, 0.000], [0.269, 0.537, 0.306], [0.000, 0.500, 0.500], [0.770, 0.038, 0.308]]
}

---

# 20
{
  "formula": "CePuAs2",
  "functional": "PBE",
  "state": "relaxed",
  "magmom_total_mub_per_fu": 5.89,
  "ef_ev_per_fu": -4.9,
  "energy_ev_per_atom": -8.625,
  "relative_energy_mev_per_atom": 0,
  "lattice_angstrom": [[4.192, 0.000, 0.000], [2.096, 3.631, 0.000], [2.096, 1.210, 6.790]],
  "species": ["Pu", "As", "Ce", "As"],
  "fractional_positions": [[0.000, 0.000, 0.000], [0.748, 0.748, 0.755], [0.500, 0.500, 0.500], [0.252, 0.252, 0.245]]
}